Entry 1:
Below is a geometry-optimized SrLiW structure, with properties calculated at the PBE level.

Lattice parameters (Å, degrees): 2.899 2.899 15.357 90.00 90.00 90.00
Atoms (fractional coordinates):
Sr1 0.000 0.000 0.000
Sr2 0.500 0.500 0.500
Li1 0.000 0.000 0.698
Li2 0.500 0.500 0.198
W1 0.000 0.000 0.332
W2 0.500 0.500 0.832

Summary:
* total magnetization: 0.24 μB/f.u.
* excess energy over the best structure of this formula in the dataset: 0 meV/atom
* space group: I4mm
* VASP energy: -4.535 eV/atom



Entry 2:
Below is a geometry-optimized Y2Be4CuIr3 structure, with properties calculated at the PBE level.

Lattice parameters (Å, degrees): 3.912 3.912 9.589 90.00 90.00 90.00
Atoms (fractional coordinates):
Y1 0.000 0.500 0.247
Y2 0.500 0.000 0.753
Be1 0.000 0.000 0.000
Be2 0.000 0.500 0.628
Be3 0.500 0.000 0.372
Be4 0.500 0.500 0.000
Cu1 0.000 0.000 0.500
Ir1 0.000 0.500 0.872
Ir2 0.500 0.000 0.128
Ir3 0.500 0.500 0.500

Summary:
* total magnetization: 0.00 μB/f.u.
* space group: P-4m2
* VASP energy: -6.417 eV/atom



Entry 3:
Below is a geometry-optimized ZnAg3C structure, with properties calculated at the PBE level.

Lattice parameters (Å, degrees): 4.344 4.344 4.344 90.00 90.00 90.00
Atoms (fractional coordinates):
Zn1 0.000 0.000 0.000
Ag1 0.000 0.500 0.500
Ag2 0.500 0.000 0.500
Ag3 0.500 0.500 0.000
C1 0.500 0.500 0.500

Summary:
* total magnetization: 0.00 μB/f.u.
* excess energy over the best structure of this formula in the dataset: 0 meV/atom
* space group: Pm-3m
* VASP energy: -3.039 eV/atom



Entry 4:
Below is a geometry-optimized CaY3Ti structure, with properties calculated at the PBE level.

Lattice parameters (Å, degrees): 5.455 5.455 5.455 90.00 90.00 90.00
Atoms (fractional coordinates):
Ca1 0.000 0.000 0.000
Y1 0.000 0.000 0.500
Y2 0.000 0.500 0.000
Y3 0.500 0.000 0.000
Ti1 0.500 0.500 0.500

Summary:
* total magnetization: 0.00 μB/f.u.
* excess energy over the best structure of this formula in the dataset: 943 meV/atom
* space group: Pm-3m
* VASP energy: -4.530 eV/atom



Entry 5:
Below is a geometry-optimized KRe2Rh structure, with properties calculated at the PBE level.

Lattice parameters (Å, degrees): 2.844 2.844 9.344 90.00 90.00 90.00
Atoms (fractional coordinates):
K1 0.000 0.000 0.000
Re1 0.000 0.000 0.517
Re2 0.500 0.500 0.332
Rh1 0.500 0.500 0.711

Summary:
* total magnetization: 0.00 μB/f.u.
* excess energy over the best structure of this formula in the dataset: 56 meV/atom
* space group: P4mm
* VASP energy: -7.684 eV/atom



Entry 6:
Below is a geometry-optimized YSiMo2 structure, with properties calculated at the PBE level.

Lattice parameters (Å, degrees): 3.276 4.692 4.909 90.00 95.29 90.00
Atoms (fractional coordinates):
Y1 0.000 0.000 0.000
Si1 0.500 0.000 0.500
Mo1 0.325 0.500 0.708
Mo2 0.675 0.500 0.292

Summary:
* total magnetization: 0.00 μB/f.u.
* E_form (uncorrected): 183 meV per atom
* space group: P2/m
* VASP energy: -8.204 eV/atom



Entry 7:
Below is a geometry-optimized AlMoW2 structure, with properties calculated at the PBE level.

Lattice parameters (Å, degrees): 2.729 4.418 5.343 90.00 101.68 90.00
Atoms (fractional coordinates):
Al1 0.000 0.000 0.000
Mo1 0.727 0.500 0.244
W1 0.285 0.500 0.752
W2 0.509 0.000 0.499

Summary:
* total magnetization: 0.00 μB/f.u.
* space group: Pm
* VASP energy: -10.120 eV/atom



Entry 8:
Below is a geometry-optimized RbBaH6Pd2 structure, with properties calculated at the PBE level.

Lattice parameters (Å, degrees): 6.891 6.891 7.469 110.01 110.01 96.91
Atoms (fractional coordinates):
Rb1 0.010 0.990 0.750
Rb2 0.990 0.010 0.250
Ba1 0.385 0.615 0.750
Ba2 0.615 0.385 0.250
H1 0.044 0.623 0.415
H2 0.126 0.422 0.965
H3 0.268 0.414 0.330
H4 0.377 0.956 0.085
H5 0.414 0.268 0.830
H6 0.422 0.126 0.465
H7 0.578 0.874 0.535
H8 0.586 0.732 0.170
H9 0.623 0.044 0.915
H10 0.732 0.586 0.670
H11 0.874 0.578 0.035
H12 0.956 0.377 0.585
Pd1 0.089 0.515 0.202
Pd2 0.485 0.911 0.298
Pd3 0.515 0.089 0.702
Pd4 0.911 0.485 0.798

Summary:
* total magnetization: 0.00 μB/f.u.
* space group: C2/c
* VASP energy: -3.626 eV/atom



Entry 9:
Below is a geometry-optimized Pm2SmYTe5 structure, with properties calculated at the PBE level.

Lattice parameters (Å, degrees): 5.641 5.641 11.630 90.00 90.00 90.00
Atoms (fractional coordinates):
Pm1 0.000 0.000 0.156
Pm2 0.000 0.000 0.844
Sm1 0.500 0.500 0.000
Y1 0.500 0.500 0.500
Te1 0.000 0.000 0.500
Te2 0.000 0.500 0.000
Te3 0.500 0.000 0.000
Te4 0.500 0.500 0.257
Te5 0.500 0.500 0.743

Summary:
* total magnetization: 0.64 μB/f.u.
* E_form (uncorrected): -730 meV per atom
* space group: P4/mmm
* VASP energy: -4.774 eV/atom



Entry 10:
Below is a geometry-optimized Li2LaAgF structure, with properties calculated at the PBE level.

Lattice parameters (Å, degrees): 4.267 4.267 5.272 90.00 90.00 90.00
Atoms (fractional coordinates):
Li1 0.000 0.500 0.000
Li2 0.500 0.000 0.000
La1 0.000 0.000 0.500
Ag1 0.500 0.500 0.500
F1 0.000 0.000 0.000

Summary:
* total magnetization: 0.00 μB/f.u.
* E_form (uncorrected): -1116 meV per atom
* space group: P4/mmm
* VASP energy: -3.812 eV/atom



Entry 11:
Below is a geometry-optimized Tb6Sm2Y5 structure, with properties calculated at the PBE level.

Lattice parameters (Å, degrees): 11.691 20.341 3.607 90.00 90.00 90.00
Atoms (fractional coordinates):
Tb1 0.061 0.078 0.000
Tb2 0.080 0.366 0.000
Tb3 0.175 0.631 0.500
Tb4 0.325 0.131 0.500
Tb5 0.420 0.866 0.000
Tb6 0.439 0.578 0.000
Tb7 0.561 0.422 0.000
Tb8 0.580 0.134 0.000
Tb9 0.675 0.869 0.500
Tb10 0.825 0.369 0.500
Tb11 0.920 0.634 0.000
Tb12 0.939 0.922 0.000
Sm1 0.169 0.786 0.000
Sm2 0.331 0.286 0.000
Sm3 0.669 0.714 0.000
Sm4 0.831 0.214 0.000
Y1 0.000 0.500 0.500
Y2 0.090 0.223 0.500
Y3 0.198 0.947 0.500
Y4 0.302 0.447 0.500
Y5 0.410 0.723 0.500
Y6 0.500 0.000 0.500
Y7 0.590 0.277 0.500
Y8 0.698 0.553 0.500
Y9 0.802 0.053 0.500
Y10 0.910 0.777 0.500

Summary:
* total magnetization: 0.00 μB/f.u.
* space group: Pbam
* VASP energy: -5.251 eV/atom



Entry 12:
Below is a geometry-optimized CePrTh2Sb5 structure, with properties calculated at the PBE level.

Lattice parameters (Å, degrees): 5.427 5.427 11.683 90.00 90.00 90.00
Atoms (fractional coordinates):
Ce1 0.000 0.000 0.000
Pr1 0.000 0.000 0.500
Th1 0.500 0.500 0.314
Th2 0.500 0.500 0.686
Sb1 0.000 0.000 0.247
Sb2 0.000 0.000 0.753
Sb3 0.000 0.500 0.500
Sb4 0.500 0.000 0.500
Sb5 0.500 0.500 0.000

Summary:
* total magnetization: 0.58 μB/f.u.
* E_form (uncorrected): -25 meV per atom
* space group: P4/mmm
* VASP energy: -5.155 eV/atom